# PBE-GGA NdGaPt, relaxed
data_NdGaPt
_chemical_formula_sum 'Nd8 Ga8 Pt8'
_cell_length_a 4.476
_cell_length_b 14.686
_cell_length_c 7.749
_cell_angle_alpha 90.00
_cell_angle_beta 90.00
_cell_angle_gamma 90.00
_space_group_name_H-M_alt 'P m m n'
_space_group_IT_number 59
loop_
_space_group_symop_operation_xyz
'x,y,z'
'-x,-y,-z'
'-x+1/2,-y+1/2,z'
'x+1/2,y+1/2,-z'
'x+1/2,-y,-z'
'-x+1/2,y,z'
'-x,y+1/2,-z'
'x,-y+1/2,z'
loop_
_atom_site_label
_atom_site_type_symbol
_atom_site_fract_x
_atom_site_fract_y
_atom_site_fract_z
_atom_site_occupancy
Nd1 Nd 0.250 0.004 0.200 1
Nd2 Nd 0.250 0.250 0.290 1
Nd3 Nd 0.250 0.750 0.290 1
Ga1 Ga 0.250 0.092 0.581 1
Ga2 Ga 0.250 0.657 0.915 1
Pt1 Pt 0.250 0.141 0.908 1
Pt2 Pt 0.250 0.600 0.584 1
# E_form	-3.06	eV per formula unit
# total moment	0.00	μB/f.u.

=====

# PBE-GGA SrY2Pb2, relaxed
data_SrY2Pb2
_chemical_formula_sum 'Sr2 Y4 Pb4'
_cell_length_a 9.200
_cell_length_b 9.200
_cell_length_c 3.781
_cell_angle_alpha 90.00
_cell_angle_beta 90.00
_cell_angle_gamma 90.00
_space_group_name_H-M_alt 'P 4/m b m'
_space_group_IT_number 127
_space_group_name_Hall '-P 4 2ab'
loop_
_atom_site_label
_atom_site_type_symbol
_atom_site_fract_x
_atom_site_fract_y
_atom_site_fract_z
_atom_site_occupancy
Sr1 Sr 0.000 0.000 0.000 1
Y1 Y 0.138 0.362 0.500 1
Pb1 Pb 0.161 0.661 0.000 1
# E_form	-2.28	eV per formula unit
# energy relative to the lowest polymorph listed for this composition	0	meV/atom
# total moment	0.00	μB/f.u.

=====

# PBE-GGA MgIn2Ga, relaxed
data_MgIn2Ga
_chemical_formula_sum 'Mg2 In4 Ga2'
_cell_length_a 6.074
_cell_length_b 3.288
_cell_length_c 9.586
_cell_angle_alpha 90.00
_cell_angle_beta 98.37
_cell_angle_gamma 90.00
_space_group_name_H-M_alt 'C 1 2/m 1'
_space_group_IT_number 12
loop_
_space_group_symop_operation_xyz
'x,y,z'
'-x,-y,-z'
'-x,y,-z'
'x,-y,z'
'x+1/2,y+1/2,z'
'-x+1/2,-y+1/2,-z'
'-x+1/2,y+1/2,-z'
'x+1/2,-y+1/2,z'
loop_
_atom_site_label
_atom_site_type_symbol
_atom_site_fract_x
_atom_site_fract_y
_atom_site_fract_z
_atom_site_occupancy
Mg1 Mg 0.000 0.000 0.000 1
In1 In 0.245 0.500 0.257 1
Ga1 Ga 0.000 0.500 0.500 1
# E_form	-0.02	eV per formula unit
# energy relative to the lowest polymorph listed for this composition	27	meV/atom
# total moment	0.00	μB/f.u.

=====

# PBE-GGA PrHo4Th, relaxed
data_PrHo4Th
_chemical_formula_sum 'Pr4 Ho16 Th4'
_cell_length_a 9.299
_cell_length_b 9.299
_cell_length_c 9.299
_cell_angle_alpha 90.00
_cell_angle_beta 90.00
_cell_angle_gamma 90.00
_space_group_name_H-M_alt 'F -4 3 m'
_space_group_IT_number 216
_space_group_name_Hall 'F -4 2 3'
loop_
_atom_site_label
_atom_site_type_symbol
_atom_site_fract_x
_atom_site_fract_y
_atom_site_fract_z
_atom_site_occupancy
Pr1 Pr 0.000 0.000 0.000 1
Ho1 Ho 0.124 0.124 0.376 1
Th1 Th 0.250 0.250 0.750 1
# E_form	1.97	eV per formula unit
# energy relative to the lowest polymorph listed for this composition	325	meV/atom
# total moment	3.27	μB/f.u.

=====

# PBE-GGA Mg2CuBr, relaxed
data_Mg2CuBr
_chemical_formula_sum 'Mg4 Cu2 Br2'
_cell_length_a 6.139
_cell_length_b 8.044
_cell_length_c 3.264
_cell_angle_alpha 90.00
_cell_angle_beta 90.00
_cell_angle_gamma 90.00
_space_group_name_H-M_alt 'C m m m'
_space_group_IT_number 65
_space_group_name_Hall '-C 2 2'
loop_
_atom_site_label
_atom_site_type_symbol
_atom_site_fract_x
_atom_site_fract_y
_atom_site_fract_z
_atom_site_occupancy
Mg1 Mg 0.250 0.250 0.000 1
Cu1 Cu 0.000 0.000 0.500 1
Br1 Br 0.000 0.500 0.500 1
# formation energy without anion corrections	-103	meV/atom
# energy relative to the lowest polymorph listed for this composition	240	meV/atom
# total moment	0.00	μB/f.u.

=====

# PBE-GGA Li2ScCl, relaxed
data_Li2ScCl
_chemical_formula_sum 'Li4 Sc2 Cl2'
_cell_length_a 3.733
_cell_length_b 3.733
_cell_length_c 11.605
_cell_angle_alpha 90.00
_cell_angle_beta 90.00
_cell_angle_gamma 90.00
_space_group_name_H-M_alt 'I 4/m m m'
_space_group_IT_number 139
_space_group_name_Hall '-I 4 2'
loop_
_atom_site_label
_atom_site_type_symbol
_atom_site_fract_x
_atom_site_fract_y
_atom_site_fract_z
_atom_site_occupancy
Li1 Li 0.000 0.500 0.250 1
Sc1 Sc 0.000 0.000 0.000 1
Cl1 Cl 0.000 0.000 0.500 1
# formation energy without anion corrections	-341	meV/atom
# energy relative to the lowest polymorph listed for this composition	322	meV/atom
# total moment	0.00	μB/f.u.